Entry 1:
DFT (PBE-GGA) results for crystalline LiPm2Rh2 at its relaxed geometry.

The structure in POSCAR format:
```
LiPm2Rh2
1.0
-2.083 3.005 4.198
2.083 -3.005 4.198
2.083 3.005 -4.198
Li Pm Rh
1 2 2
direct
0.000 0.000 0.000
0.297 0.797 0.500
0.703 0.203 0.500
0.734 0.500 0.234
0.266 0.500 0.766
```

uncorrected energy: -5.81 eV/atom
E_form: -283 kJ/mol of formula units
SG: Immm, No. 71

=====

Entry 2:
DFT (PBE-GGA) results for crystalline LiPmRh2 at its relaxed geometry.

The structure in POSCAR format:
```
LiPmRh2
1.0
3.358 0.000 0.000
0.000 3.358 0.000
0.000 0.000 6.172
Li Rh Pm
1 2 1
direct
0.500 0.500 0.500
0.000 0.000 0.721
0.000 0.000 0.279
0.500 0.500 0.000
```

uncorrected energy: -5.68 eV/atom
E_form: -130 kJ/mol of formula units
SG: P4/mmm, No. 123

=====

Entry 3:
DFT (PBE-GGA) results for crystalline LiPm6Rh5 at its relaxed geometry.

The structure in POSCAR format:
```
LiPm6Rh5
1.0
4.733 0.004 -1.456
-0.787 6.666 -2.540
0.073 -0.557 8.654
Pm Rh Li
6 5 1
direct
0.171 0.426 0.342
0.171 0.915 0.342
0.500 0.261 0.000
0.500 0.739 0.000
0.829 0.085 0.658
0.829 0.574 0.658
0.341 0.841 0.683
0.670 0.670 0.339
0.000 0.500 0.000
0.330 0.330 0.661
0.659 0.159 0.317
0.000 0.000 0.000
```

uncorrected energy: -6.19 eV/atom
E_form: -689 kJ/mol of formula units
SG: Immm, No. 71

=====

Entry 4:
DFT (PBE-GGA) results for crystalline Li2Pm3Rh3 at its relaxed geometry.

The structure in POSCAR format:
```
Li2Pm3Rh3
1.0
5.657 0.000 0.000
0.000 7.283 -4.205
0.000 0.000 8.410
Li Pm Rh
4 6 6
direct
0.000 0.333 0.667
0.500 0.667 0.333
0.000 0.667 0.333
0.500 0.333 0.667
0.750 0.287 0.000
0.750 0.713 0.713
0.750 0.000 0.287
0.250 0.713 0.000
0.250 0.287 0.287
0.250 0.000 0.713
0.750 0.623 0.000
0.750 0.377 0.377
0.750 0.000 0.623
0.250 0.377 0.000
0.250 0.623 0.623
0.250 0.000 0.377
```

uncorrected energy: -5.49 eV/atom
E_form: -368 kJ/mol of formula units
SG: P6_3/mcm, No. 193

=====

Entry 5:
DFT (PBE-GGA) results for crystalline LiPm3Rh at its relaxed geometry.

The structure in POSCAR format:
```
LiPm3Rh
1.0
5.537 0.000 0.000
0.000 5.537 0.000
0.000 0.000 5.537
Li Rh Pm
1 1 3
direct
0.500 0.500 0.500
0.000 0.000 0.000
0.000 0.500 0.000
0.000 0.000 0.500
0.500 0.000 0.000
```

uncorrected energy: -4.85 eV/atom
E_form: -69 kJ/mol of formula units
SG: Pm-3m, No. 221

=====

Entry 6:
DFT (PBE-GGA) results for crystalline LiPm3Rh at its relaxed geometry.

The structure in POSCAR format:
```
LiPm3Rh
1.0
6.539 0.000 0.000
0.000 10.255 -0.684
0.000 -4.591 8.409
Li Pm Rh
4 12 4
direct
0.810 0.500 0.500
0.190 0.500 0.500
0.310 0.000 0.500
0.690 0.000 0.500
0.000 0.698 0.897
0.000 0.302 0.103
0.500 0.802 0.103
0.500 0.198 0.897
0.500 0.426 0.721
0.500 0.574 0.279
0.000 0.074 0.279
0.000 0.926 0.721
0.000 0.294 0.720
0.000 0.706 0.280
0.500 0.206 0.280
0.500 0.794 0.720
0.250 0.500 0.000
0.750 0.500 0.000
0.750 0.000 0.000
0.250 0.000 0.000
```

uncorrected energy: -4.97 eV/atom
E_form: -128 kJ/mol of formula units
SG: Fmmm, No. 69